1.
NaMgS2Cl: relaxed, PBE.

Cell lengths 4.859, 4.859, 5.185 Å; angles 90.00, 90.00, 90.00 degrees
Site moments in Bohr magnetons follow the coordinates.
Sites, in units of the cell vectors:
Cl: 0.000 0.000 0.500  0.11
Mg: 0.000 0.000 0.000  0.00
S: 0.000 0.500 0.000  0.38
Na: 0.500 0.500 0.500  0.00
S: 0.500 0.000 0.000  0.38

Summary:
Formation energy (no corrections) ... -3.3 eV per formula unit
Polymorph energy (0 for the lowest one) ... 0.000 eV/atom
DOS(E_F) ... 4.01 states/eV/cell
Crystal system ... tetragonal
Total moment ... 1.4 μB/cell

2.
Ca2ZrRu: relaxed, PBE.

Cell lengths 3.251, 4.927, 5.771 Å; angles 90.00, 90.00, 90.00 degrees
Site moments in Bohr magnetons follow the coordinates.
Sites, in units of the cell vectors:
Ca: 0.000 0.000 0.016  0.00
Ru: 0.500 0.500 0.250  0.12
Ca: 0.000 0.000 0.484  0.00
Zr: 0.500 0.500 0.750  -0.01

Summary:
Formation energy ... 0.44 eV per atom
Polymorph energy (0 for the lowest one) ... 0.529 eV/atom
DOS(E_F) ... 4.76 states/eV/cell
Crystal system ... orthorhombic
Total moment ... 0.1 μB/cell

3.
Ti6BeSn2: relaxed, PBE.

Cell lengths 3.496, 7.242, 7.243 Å; angles 120.00, 90.00, 90.00 degrees
Sites, in units of the cell vectors:
Ti: 0.000 0.229 0.000
Ti: 0.500 0.000 0.622
Ti: 0.500 0.378 0.378
Ti: 0.500 0.622 0.000
Sn: 0.000 0.667 0.333
Ti: 0.000 0.000 0.229
Sn: 0.000 0.333 0.667
Be: 0.500 0.000 0.000
Ti: 0.000 0.771 0.771

Summary:
Formation energy ... -0.25 eV per atom
DOS(E_F) ... 10.01 states/eV/cell
Crystal system ... hexagonal
Total moment ... 0.0 μB/cell

4.
BaTi3Pd: relaxed, PBE.

Cell lengths 4.984, 4.984, 4.984 Å; angles 90.00, 90.00, 90.00 degrees
Sites, in units of the cell vectors:
Ba: 0.500 0.500 0.500
Ti: 0.500 0.000 0.000
Pd: 0.000 0.000 0.000
Ti: 0.000 0.000 0.500
Ti: 0.000 0.500 0.000

Summary:
Formation energy ... 0.49 eV per atom
Polymorph energy (0 for the lowest one) ... 0.000 eV/atom
DOS(E_F) ... 5.09 states/eV/cell
Crystal system ... cubic
Total moment ... 0.0 μB/cell

5.
DyLuZnTc: relaxed, PBE.

Cell lengths 4.876, 4.876, 4.876 Å; angles 60.00, 60.00, 60.00 degrees
Sites, in units of the cell vectors:
Lu: 0.250 0.250 0.250
Zn: 0.000 0.000 0.000
Dy: 0.750 0.750 0.750
Tc: 0.500 0.500 0.500

Summary:
Formation energy ... -0.18 eV per atom
DOS(E_F) ... 2.84 states/eV/cell
Crystal system ... cubic
Total moment ... 0.0 μB/cell

6.
Ce3SmHo2P6: relaxed, PBE.

Cell lengths 7.031, 7.031, 7.017 Å; angles 99.62, 99.62, 120.01 degrees
Site moments in Bohr magnetons follow the coordinates.
Sites, in units of the cell vectors:
Ce: 0.166 0.834 0.500  0.45
P: 0.917 0.580 0.751  -0.01
P: 0.580 0.917 0.751  -0.01
P: 0.083 0.420 0.249  -0.01
Ho: 0.333 0.667 0.000  0.01
P: 0.420 0.083 0.249  -0.01
Ce: 0.834 0.166 0.500  0.45
P: 0.255 0.255 0.752  -0.01
Sm: 0.000 0.000 0.000  0.01
Ho: 0.667 0.333 0.000  0.01
Ce: 0.500 0.500 0.500  0.45
P: 0.745 0.745 0.248  -0.01

Summary:
Formation energy ... -1.55 eV per atom
DOS(E_F) ... 13.24 states/eV/cell
Crystal system ... monoclinic
Total moment ... 1.5 μB/cell

7.
SiOsIN2: relaxed, PBE.

Cell lengths 3.855, 3.855, 6.315 Å; angles 90.00, 90.00, 90.00 degrees
Site moments in Bohr magnetons follow the coordinates.
Sites, in units of the cell vectors:
N: 0.500 0.000 0.000  0.02
I: 0.000 0.000 0.500  -0.01
N: 0.000 0.500 0.000  0.02
Os: 0.000 0.000 0.000  0.09
Si: 0.500 0.500 0.500  0.22

Summary:
Formation energy (no corrections) ... 5.8 eV per formula unit
Polymorph energy (0 for the lowest one) ... 0.000 eV/atom
DOS(E_F) ... 4.34 states/eV/cell
Crystal system ... tetragonal
Total moment ... 0.8 μB/cell

8.
Cd5InAg2: relaxed, PBE.

Cell lengths 6.127, 6.127, 6.127 Å; angles 104.62, 104.62, 119.69 degrees
Sites, in units of the cell vectors:
Cd: 0.778 0.278 0.000
Cd: 0.278 0.778 0.000
In: 0.778 0.778 0.000
Cd: 0.278 0.277 0.000
Ag: 0.278 0.778 0.500
Cd: 0.278 0.278 0.500
Cd: 0.778 0.778 0.500
Ag: 0.778 0.278 0.500

Summary:
Formation energy ... 0.02 eV per atom
Polymorph energy (0 for the lowest one) ... 0.000 eV/atom
DOS(E_F) ... 1.66 states/eV/cell
Crystal system ... tetragonal
Total moment ... 0.0 μB/cell

9.
TbInTc: relaxed, PBE.

Cell lengths 3.588, 3.588, 11.139 Å; angles 90.00, 90.00, 90.00 degrees
Sites, in units of the cell vectors:
In: 0.500 0.000 0.417
Tc: 0.500 0.500 0.000
Tc: 0.000 0.000 0.000
In: 0.000 0.500 0.583
Tb: 0.000 0.500 0.221
Tb: 0.500 0.000 0.779

Summary:
Formation energy ... 0.01 eV per atom
DOS(E_F) ... 5.55 states/eV/cell
Crystal system ... tetragonal
Total moment ... 0.0 μB/cell

10.
LiHg2Au: relaxed, PBE.

Cell lengths 4.395, 4.395, 4.097 Å; angles 90.00, 90.00, 90.00 degrees
Sites, in units of the cell vectors:
Li: 0.500 0.000 0.500
Hg: 0.500 0.500 0.000
Hg: 0.000 0.000 0.000
Au: 0.000 0.500 0.500

Summary:
Formation energy ... -0.21 eV per atom
DOS(E_F) ... 1.75 states/eV/cell
Crystal system ... tetragonal
Total moment ... 0.0 μB/cell

11.
Y3HoMg2: relaxed, PBE.

Cell lengths 3.672, 3.672, 12.920 Å; angles 90.00, 90.00, 90.00 degrees
Sites, in units of the cell vectors:
Ho: 0.500 0.500 0.500
Y: 0.000 0.000 0.688
Y: 0.000 0.000 0.000
Mg: 0.500 0.500 0.154
Y: 0.000 0.000 0.312
Mg: 0.500 0.500 0.846

Summary:
Formation energy ... -0.05 eV per atom
DOS(E_F) ... 8.77 states/eV/cell
Crystal system ... tetragonal
Total moment ... 0.0 μB/cell

12.
CrNi: relaxed, PBE.

Cell lengths 4.360, 2.456, 2.457 Å; angles 63.00, 75.59, 75.58 degrees
Sites, in units of the cell vectors:
Ni: 0.423 0.177 0.954
Cr: 0.923 0.677 0.454

Summary:
Formation energy ... 0.13 eV per atom
DOS(E_F) ... 2.50 states/eV/cell
Crystal system ... monoclinic
Total moment ... 0.0 μB/cell

13.
BaSr2Ag: relaxed, PBE.

Cell lengths 7.410, 8.762, 11.091 Å; angles 90.00, 90.00, 90.00 degrees
Sites, in units of the cell vectors:
Sr: 0.343 0.177 0.435
Ag: 0.926 0.616 0.750
Ag: 0.574 0.116 0.750
Sr: 0.343 0.177 0.065
Sr: 0.657 0.823 0.935
Ba: 0.361 0.464 0.750
Ba: 0.861 0.036 0.250
Sr: 0.657 0.823 0.565
Ag: 0.426 0.884 0.250
Ag: 0.074 0.384 0.250
Sr: 0.157 0.677 0.065
Ba: 0.639 0.536 0.250
Sr: 0.157 0.677 0.435
Sr: 0.843 0.323 0.565
Ba: 0.139 0.964 0.750
Sr: 0.843 0.323 0.935

Summary:
Formation energy ... -0.16 eV per atom
Polymorph energy (0 for the lowest one) ... 0.000 eV/atom
DOS(E_F) ... 15.75 states/eV/cell
Crystal system ... orthorhombic
Total moment ... 0.0 μB/cell